{"formula": "Ba2HfZnTe5", "functional": "PBE-GGA", "state": "relaxed", "raw_formation_energy_ev_per_fu": -10.18, "vol_a3_per_atom": 35.122, "dft_energy_ev_per_atom": -4.5517, "spacegroup": "Cmc2_1", "lattice": [[4.424, 0.000, 0.000], [-2.212, 10.217, 0.000], [0.000, 0.000, 13.987]], "species": ["Te", "Ba", "Te", "Te", "Hf", "Te", "Hf", "Ba", "Te", "Te", "Ba", "Te", "Ba", "Zn", "Te", "Te", "Zn", "Te"], "frac_coords": [[0.698, 0.396, 0.873], [0.125, 0.251, 0.312], [0.502, 0.004, 0.780], [0.064, 0.129, 0.050], [0.793, 0.586, 0.517], [0.713, 0.426, 0.155], [0.207, 0.414, 0.017], [0.884, 0.768, 0.191], [0.302, 0.604, 0.373], [0.498, 0.996, 0.280], [0.116, 0.232, 0.691], [0.936, 0.871, 0.550], [0.875, 0.749, 0.812], [0.564, 0.129, 0.942], [0.347, 0.693, 0.004], [0.653, 0.307, 0.504], [0.436, 0.871, 0.442], [0.287, 0.574, 0.655]]}